Here is an optimized crystal structure of CrIr2W from Alexandria via LeMat-Bulk. Energies are from PBE-GGA.

abc: 4.7041 4.7041 2.7376
angles: 90.00 90.00 109.25
Last column: nearest neighbours and their distance in Å.
Sites, in units of the cell vectors:
Cr  0.0000  0.0000  0.0000  8 Ir 2.72, 2 W 2.72, 2 Cr 2.74
Ir  0.0000  0.5000  0.5000  4 W 2.72, 4 Cr 2.72, 4 Ir 2.72-2.74
Ir  0.5000  0.0000  0.5000  4 W 2.72, 4 Cr 2.72, 4 Ir 2.72-2.74
W  0.5000  0.5000  0.0000  8 Ir 2.72, 2 Cr 2.72, 2 W 2.74

* DOS(E_F): 2.9 states/eV/cell
* energy: -10.281 eV per atom
* M_tot: 0.069 Bohr magnetons per cell
* energy of formation from the pure elements: -0.8 eV/f.u.